# 1
The following is a PBE calculation of crystalline LiSn2PbS at its relaxed geometry, from the Alexandria database.

Output
Raw formation energy in eV/atom: -0.2074

```
data_LiSn2PbS
_chemical_formula_sum 'Li1 Sn2 Pb1 S1'
_symmetry_space_group_name_H-M 'P 4/m m m'
_symmetry_Int_Tables_number 123
_symmetry_space_group_name_Hall '-P 4 2'
_cell_length_a 5.587
_cell_length_b 5.587
_cell_length_c 4.347
_cell_angle_alpha 90.00
_cell_angle_beta 90.00
_cell_angle_gamma 90.00
loop_
_atom_site_label
_atom_site_type_symbol
_atom_site_fract_x
_atom_site_fract_y
_atom_site_fract_z
Li1 Li 0.000 0.000 0.000
Sn1 Sn 0.000 0.500 0.500
Pb1 Pb 0.500 0.500 0.000
S1 S 0.000 0.000 0.500
```

=====

# 2
The following is a PBE calculation of crystalline Rb2SmGaBr6 at its relaxed geometry, from the Alexandria database.

Output
Raw formation energy in eV/atom: -1.5925

```
data_Rb2SmGaBr6
_chemical_formula_sum 'Rb4 Sm2 Ga2 Br12'
_symmetry_space_group_name_H-M 'P 1 21/c 1'
_symmetry_Int_Tables_number 14
_cell_length_a 8.000
_cell_length_b 8.406
_cell_length_c 13.936
_cell_angle_alpha 90.00
_cell_angle_beta 124.48
_cell_angle_gamma 90.00
loop_
_symmetry_equiv_pos_as_xyz
'x,y,z'
'-x,-y,-z'
'-x,y+1/2,-z+1/2'
'x,-y+1/2,z+1/2'
loop_
_atom_site_label
_atom_site_type_symbol
_atom_site_fract_x
_atom_site_fract_y
_atom_site_fract_z
Rb1 Rb 0.225 0.071 0.249
Sm1 Sm 0.500 0.000 0.000
Ga1 Ga 0.000 0.000 0.500
Br1 Br 0.161 0.190 0.951
Br2 Br 0.262 0.715 0.948
Br3 Br 0.360 0.028 0.760
```

=====

# 3
The following is a PBE calculation of crystalline TmZr2As4 at its relaxed geometry, from the Alexandria database.

Output
ΔH_f (0 K) in kJ/mol of atoms: -87.8

```
data_TmZr2As4
_chemical_formula_sum 'Tm4 Zr8 As16'
_symmetry_space_group_name_H-M 'C m c m'
_symmetry_Int_Tables_number 63
_symmetry_space_group_name_Hall '-C 2c 2'
_cell_length_a 3.870
_cell_length_b 12.874
_cell_length_c 12.739
_cell_angle_alpha 90.00
_cell_angle_beta 90.00
_cell_angle_gamma 90.00
loop_
_atom_site_label
_atom_site_type_symbol
_atom_site_fract_x
_atom_site_fract_y
_atom_site_fract_z
Tm1 Tm 0.000 0.108 0.250
Zr1 Zr 0.000 0.365 0.057
As1 As 0.000 0.000 0.000
As2 As 0.000 0.264 0.633
As3 As 0.000 0.445 0.250
```

=====

# 4
The following is a PBE calculation of crystalline AgSbS3 at its relaxed geometry, from the Alexandria database.

Output
Raw formation energy in eV/atom: -0.0826

```
data_AgSbS3
_chemical_formula_sum 'Ag6 Sb6 S18'
_symmetry_space_group_name_H-M 'R -3'
_symmetry_Int_Tables_number 148
_symmetry_space_group_name_Hall '-R 3'
_cell_length_a 6.5317
_cell_length_b 6.5317
_cell_length_c 19.7582
_cell_angle_alpha 90.00
_cell_angle_beta 90.00
_cell_angle_gamma 120.00
loop_
_atom_site_label
_atom_site_type_symbol
_atom_site_fract_x
_atom_site_fract_y
_atom_site_fract_z
Ag1 Ag 0.0000 0.0000 0.0769
Sb1 Sb 0.0000 0.0000 0.3340
S1 S 0.0022 0.3768 0.9224
```

=====

# 5
The following is a PBE calculation of crystalline B2SO6 at its relaxed geometry, from the Alexandria database.

Output
Raw formation energy in eV/atom: -1.7774

```
data_B2SO6
_chemical_formula_sum 'B8 S4 O24'
_symmetry_space_group_name_H-M 'C 1 2/c 1'
_symmetry_Int_Tables_number 15
_cell_length_a 9.389
_cell_length_b 9.761
_cell_length_c 4.509
_cell_angle_alpha 90.00
_cell_angle_beta 118.67
_cell_angle_gamma 90.00
loop_
_symmetry_equiv_pos_as_xyz
'x,y,z'
'-x,-y,-z'
'-x,y,-z+1/2'
'x,-y,z+1/2'
'x+1/2,y+1/2,z'
'-x+1/2,-y+1/2,-z'
'-x+1/2,y+1/2,-z+1/2'
'x+1/2,-y+1/2,z+1/2'
loop_
_atom_site_label
_atom_site_type_symbol
_atom_site_fract_x
_atom_site_fract_y
_atom_site_fract_z
B1 B 0.249 0.065 0.114
S1 S 0.000 0.250 0.750
O1 O 0.101 0.165 0.054
O2 O 0.101 0.336 0.648
O3 O 0.249 0.044 0.810
```

=====

# 6
The following is a PBE calculation of crystalline Pm4Pr2Y2Er at its relaxed geometry, from the Alexandria database.

Output
ΔH_f (0 K) in kJ/mol of atoms: 0.5

```
data_Pm4Pr2Y2Er
_chemical_formula_sum 'Pm8 Pr4 Y4 Er2'
_symmetry_space_group_name_H-M 'C 1 2/m 1'
_symmetry_Int_Tables_number 12
_cell_length_a 18.987
_cell_length_b 3.671
_cell_length_c 9.738
_cell_angle_alpha 90.00
_cell_angle_beta 115.64
_cell_angle_gamma 90.00
loop_
_symmetry_equiv_pos_as_xyz
'x,y,z'
'-x,-y,-z'
'-x,y,-z'
'x,-y,z'
'x+1/2,y+1/2,z'
'-x+1/2,-y+1/2,-z'
'-x+1/2,y+1/2,-z'
'x+1/2,-y+1/2,z'
loop_
_atom_site_label
_atom_site_type_symbol
_atom_site_fract_x
_atom_site_fract_y
_atom_site_fract_z
Pm1 Pm 0.018 0.000 0.333
Pm2 Pm 0.185 0.500 0.334
Pr1 Pr 0.165 0.000 0.999
Y1 Y 0.147 0.500 0.665
Er1 Er 0.000 0.500 0.000
```

=====

# 7
The following is a PBE calculation of crystalline Rb2H2Pb at its relaxed geometry, from the Alexandria database.

```
data_Rb2H2Pb
_chemical_formula_sum 'Rb4 H4 Pb2'
_symmetry_space_group_name_H-M 'P 4/m b m'
_symmetry_Int_Tables_number 127
_symmetry_space_group_name_Hall '-P 4 2ab'
_cell_length_a 8.158
_cell_length_b 8.158
_cell_length_c 3.916
_cell_angle_alpha 90.00
_cell_angle_beta 90.00
_cell_angle_gamma 90.00
loop_
_atom_site_label
_atom_site_type_symbol
_atom_site_fract_x
_atom_site_fract_y
_atom_site_fract_z
Rb1 Rb 0.148 0.352 0.000
H1 H 0.168 0.668 0.500
Pb1 Pb 0.000 0.000 0.500
```

=====

# 8
The following is a PBE calculation of crystalline Ho5TmZn6 at its relaxed geometry, from the Alexandria database.

Output
ΔH_f (0 K) in kJ/mol of atoms: -33.3

```
data_Ho5TmZn6
_chemical_formula_sum 'Ho10 Tm2 Zn12'
_symmetry_space_group_name_H-M 'C m m m'
_symmetry_Int_Tables_number 65
_symmetry_space_group_name_Hall '-C 2 2'
_cell_length_a 5.010
_cell_length_b 15.041
_cell_length_c 7.113
_cell_angle_alpha 90.00
_cell_angle_beta 90.00
_cell_angle_gamma 90.00
loop_
_atom_site_label
_atom_site_type_symbol
_atom_site_fract_x
_atom_site_fract_y
_atom_site_fract_z
Ho1 Ho 0.000 0.000 0.000
Ho2 Ho 0.000 0.333 0.000
Ho3 Ho 0.000 0.334 0.500
Tm1 Tm 0.000 0.000 0.500
Zn1 Zn 0.000 0.166 0.251
Zn2 Zn 0.000 0.500 0.252
```

=====

# 9
The following is a PBE calculation of crystalline CaTa2Ni at its relaxed geometry, from the Alexandria database.

Output
ΔH_f (0 K) in kJ/mol of atoms: 46.6

```
data_CaTa2Ni
_chemical_formula_sum 'Ca1 Ta2 Ni1'
_symmetry_space_group_name_H-M 'P m m m'
_symmetry_Int_Tables_number 47
_cell_length_a 3.187
_cell_length_b 4.508
_cell_length_c 5.226
_cell_angle_alpha 90.00
_cell_angle_beta 90.00
_cell_angle_gamma 90.00
loop_
_symmetry_equiv_pos_as_xyz
'x,y,z'
'-x,-y,-z'
'-x,-y,z'
'x,y,-z'
'x,-y,-z'
'-x,y,z'
'-x,y,-z'
'x,-y,z'
loop_
_atom_site_label
_atom_site_type_symbol
_atom_site_fract_x
_atom_site_fract_y
_atom_site_fract_z
Ca1 Ca 0.000 0.000 0.000
Ta1 Ta 0.000 0.500 0.500
Ta2 Ta 0.500 0.000 0.500
Ni1 Ni 0.500 0.500 0.000
```

=====

| no. | total energy (eV per formula unit) |
| --- | --- |
| 1 | -18.79 |
| 2 | -35.64 |
| 3 | -46.53 |
| 4 | -19.77 |
| 5 | -63.23 |
| 6 | -46.01 |
| 7 | -11.53 |
| 8 | -39.15 |
| 9 | -29.56 |